Below is a geometry-optimized HfZrCu2 structure, with properties calculated at the PBEsol level.

Lattice parameters (Å, degrees): 4.5345 4.5345 4.5345 60.00 60.00 60.00
Closest atoms and distances in Å follow each position.
Fractional coordinates of all 4 atoms:
Hf: 0.5000 0.5000 0.5000  8 Cu 2.78
Cu: 0.7500 0.7500 0.7500  4 Hf 2.78, 4 Zr 2.78
Cu: 0.2500 0.2500 0.2500  4 Hf 2.78, 4 Zr 2.78
Zr: 0.0000 0.0000 0.0000  8 Cu 2.78

formation energy = -0.100 eV/atom
uncorrected energy = -28.663 eV for the cell shown
total moment = 0.059 μB/cell
DOS at the Fermi energy = 5.87 states/eV/cell